Density functional theory data (PBE-GGA) for a relaxed SrZnOs2 crystal.

a = 3.3250 Å, b = 3.3250 Å, c = 6.9793 Å
α = 90.00°, β = 90.00°, γ = 90.00°
Element x y z (fractional)
Sr  0.5000  0.5000  0.2500
Zn  0.5000  0.5000  0.7500
Os  0.0000  0.0000  0.5764
Os  0.0000  0.0000  0.9236

Summary:
Its symmetry is P4/mmm, No. 123. As for the formation energy: 18.43 kcal/mol of atoms. For the uncorrected energy, the calculation gives -5.554 eV/atom.

=====

Density functional theory data (PBE-GGA) for a relaxed La8TcGe3Br4 crystal.

a = 8.7639 Å, b = 9.0292 Å, c = 8.7641 Å
α = 119.04°, β = 120.00°, γ = 90.00°
Element x y z (fractional)
Br  0.0000  0.0000  0.0000
Br  0.5000  0.0000  0.0000
Br  0.5000  0.0000  0.5000
Br  0.0000  0.0000  0.5000
Ge  0.5000  0.5000  0.0000
Ge  0.5000  0.5000  0.5000
Ge  0.0000  0.5000  0.5000
La  0.2267  0.7070  0.9803
La  0.7732  0.2930  0.5464
La  0.7733  0.2930  0.0197
La  0.7399  0.7198  0.4798
La  0.2601  0.2802  0.5202
La  0.2465  0.2930  0.0197
La  0.7535  0.7070  0.9803
La  0.2268  0.7070  0.4536
Tc  0.0000  0.5000  0.0000

Summary:
For the raw formation energy, the calculation gives -1.085 eV per atom. Its symmetry is R-3m, No. 166. For the uncorrected energy, the calculation gives -5.480 eV/atom.

=====

Density functional theory data (PBE-GGA) for a relaxed Sc2InBi crystal.

a = 4.2467 Å, b = 4.7631 Å, c = 4.7631 Å
α = 90.00°, β = 90.00°, γ = 90.00°
Element x y z (fractional)
Bi  0.5000  0.5000  0.5000
Sc  0.0000  0.0000  0.5000
Sc  0.0000  0.5000  0.0000
In  0.5000  0.0000  0.0000

Summary:
Its symmetry is P4/mmm, No. 123. As for the formation energy: -8.76 kcal/mol of atoms. For the energy relative to the lowest polymorph listed for this composition, the calculation gives 19.7 meV/atom. For the uncorrected energy, the calculation gives -5.200 eV/atom.

=====

no.,total moment (μB/f.u.)
1,0.7
2,0.0
3,0.6